This record from Alexandria via LeMat-Bulk describes CeSc3S6 after structural relaxation. The functional is PBE.

Cell and atoms, written as CIF:
```
data_CeSc3S6
_space_group_name_H-M_alt 'P 1 21/m 1'
_space_group_IT_number 11
_space_group_name_Hall '-P 2yb'
_cell_length_a 10.678
_cell_length_b 3.800
_cell_length_c 10.869
_cell_angle_alpha 90.00
_cell_angle_beta 109.34
_cell_angle_gamma 90.00
loop_
_atom_site_label
_atom_site_type_symbol
_atom_site_fract_x
_atom_site_fract_y
_atom_site_fract_z
Ce1 Ce 0.052 0.250 0.199
Sc1 Sc 0.159 0.250 0.589
Sc2 Sc 0.322 0.750 0.002
Sc3 Sc 0.446 0.250 0.337
S1 S 0.082 0.750 0.412
S2 S 0.124 0.250 0.965
S3 S 0.202 0.750 0.750
S4 S 0.273 0.750 0.233
S5 S 0.390 0.250 0.556
S6 S 0.478 0.250 0.113
```

Summary:
Energy   -6.897 eV/atom
Uncorrected formation energy   -1.9275 eV/atom
Size of the total moment   1.8 μB per cell
Density   3.73 g/cm³

***

This record from Alexandria via LeMat-Bulk describes Ce6ScS12 after structural relaxation. The functional is PBE.

Cell and atoms, written as CIF:
```
data_Ce6ScS12
_space_group_name_H-M_alt 'R -3'
_space_group_IT_number 148
_space_group_name_Hall '-R 3'
_cell_length_a 12.1247
_cell_length_b 12.1247
_cell_length_c 11.2981
_cell_angle_alpha 90.00
_cell_angle_beta 90.00
_cell_angle_gamma 120.00
loop_
_atom_site_label
_atom_site_type_symbol
_atom_site_fract_x
_atom_site_fract_y
_atom_site_fract_z
Ce1 Ce 0.0537 0.2705 0.1495
Sc1 Sc 0.0000 0.0000 0.5000
S1 S 0.0362 0.2207 0.8983
S2 S 0.0474 0.2042 0.3882
```

Summary:
Energy   -6.722 eV/atom
Uncorrected formation energy   -1.9080 eV/atom
Size of the total moment   9.4 μB per cell
Density   4.40 g/cm³

***

This record from Alexandria via LeMat-Bulk describes CeScS after structural relaxation. The functional is PBE.

Cell and atoms, written as CIF:
```
data_CeScS
_space_group_name_H-M_alt 'P 4/m m m'
_space_group_IT_number 123
_space_group_name_Hall '-P 4 2'
_cell_length_a 3.934
_cell_length_b 3.934
_cell_length_c 4.941
_cell_angle_alpha 90.00
_cell_angle_beta 90.00
_cell_angle_gamma 90.00
loop_
_atom_site_label
_atom_site_type_symbol
_atom_site_fract_x
_atom_site_fract_y
_atom_site_fract_z
Ce1 Ce 0.000 0.000 0.000
Sc1 Sc 0.500 0.500 0.500
S1 S 0.500 0.500 0.000
```

Summary:
Energy   -6.652 eV/atom
Uncorrected formation energy   -1.1877 eV/atom
Size of the total moment   0.6 μB per cell
Density   4.71 g/cm³

***

This record from Alexandria via LeMat-Bulk describes CeScSeS after structural relaxation. The functional is PBE.

Cell and atoms, written as CIF:
```
data_CeScSeS
_space_group_name_H-M_alt 'R 3 m'
_space_group_IT_number 160
_space_group_name_Hall 'R 3 -2"'
_cell_length_a 3.9015
_cell_length_b 3.9015
_cell_length_c 19.8208
_cell_angle_alpha 90.00
_cell_angle_beta 90.00
_cell_angle_gamma 120.00
loop_
_atom_site_label
_atom_site_type_symbol
_atom_site_fract_x
_atom_site_fract_y
_atom_site_fract_z
Ce1 Ce 0.0000 0.0000 0.0000
Sc1 Sc 0.0000 0.0000 0.5141
Se1 Se 0.0000 0.0000 0.7651
S1 S 0.0000 0.0000 0.2471
```

Summary:
Energy   -6.795 eV/atom
Uncorrected formation energy   -1.8252 eV/atom
Size of the total moment   2.8 μB per cell
Density   5.65 g/cm³

***

This record from Alexandria via LeMat-Bulk describes Ce2Sm3ScS6 after structural relaxation. The functional is PBE.

Cell and atoms, written as CIF:
```
data_Ce2Sm3ScS6
_space_group_name_H-M_alt 'C 1 2/m 1'
_space_group_IT_number 12
_space_group_name_Hall '-C 2y'
_cell_length_a 17.275
_cell_length_b 3.959
_cell_length_c 7.962
_cell_angle_alpha 90.00
_cell_angle_beta 103.38
_cell_angle_gamma 90.00
loop_
_atom_site_label
_atom_site_type_symbol
_atom_site_fract_x
_atom_site_fract_y
_atom_site_fract_z
Ce1 Ce 0.166 0.000 0.334
Sm1 Sm 0.000 0.500 0.500
Sm2 Sm 0.168 0.000 0.833
Sc1 Sc 0.000 0.500 0.000
S1 S 0.001 0.000 0.767
S2 S 0.160 0.500 0.079
S3 S 0.166 0.500 0.585
```

Summary:
Energy   -6.747 eV/atom
Uncorrected formation energy   -1.9868 eV/atom
Size of the total moment   3.2 μB per cell
Density   6.07 g/cm³

***

This record from Alexandria via LeMat-Bulk describes Ce3Sm3ScS8 after structural relaxation. The functional is PBE.

Cell and atoms, written as CIF:
```
data_Ce3Sm3ScS8
_space_group_name_H-M_alt 'R -3 m'
_space_group_IT_number 166
_space_group_name_Hall '-R 3 2"'
_cell_length_a 7.9675
_cell_length_b 7.9675
_cell_length_c 19.6391
_cell_angle_alpha 90.00
_cell_angle_beta 90.00
_cell_angle_gamma 120.00
loop_
_atom_site_label
_atom_site_type_symbol
_atom_site_fract_x
_atom_site_fract_y
_atom_site_fract_z
Ce1 Ce 0.0000 0.5000 0.0000
Sm1 Sm 0.0000 0.5000 0.5000
Sc1 Sc 0.0000 0.0000 0.5000
S1 S 0.0000 0.0000 0.2491
S2 S 0.0159 0.5079 0.2454
```

Summary:
Energy   -6.782 eV/atom
Uncorrected formation energy   -2.0281 eV/atom
Size of the total moment   9.6 μB per cell
Density   5.41 g/cm³

***

This record from Alexandria via LeMat-Bulk describes Ce2SmScS5 after structural relaxation. The functional is PBE.

Cell and atoms, written as CIF:
```
data_Ce2SmScS5
_space_group_name_H-M_alt 'C m c 21'
_space_group_IT_number 36
_space_group_name_Hall 'C 2c -2'
_cell_length_a 3.901
_cell_length_b 16.410
_cell_length_c 13.161
_cell_angle_alpha 90.00
_cell_angle_beta 90.00
_cell_angle_gamma 90.00
loop_
_atom_site_label
_atom_site_type_symbol
_atom_site_fract_x
_atom_site_fract_y
_atom_site_fract_z
Ce1 Ce 0.000 0.084 0.000
Ce2 Ce 0.000 0.137 0.661
Sm1 Sm 0.000 0.448 0.806
Sc1 Sc 0.000 0.232 0.394
S1 S 0.000 0.082 0.442
S2 S 0.000 0.255 0.035
S3 S 0.000 0.288 0.762
S4 S 0.000 0.383 0.341
S5 S 0.000 0.495 0.115
```

Summary:
Energy   -6.709 eV/atom
Uncorrected formation energy   -1.8697 eV/atom
Size of the total moment   9.3 μB per cell
Density   5.01 g/cm³

***

This record from Alexandria via LeMat-Bulk describes CeSm2Sc3S6 after structural relaxation. The functional is PBE.

Cell and atoms, written as CIF:
```
data_CeSm2Sc3S6
_space_group_name_H-M_alt 'C 1 2/m 1'
_space_group_IT_number 12
_space_group_name_Hall '-C 2y'
_cell_length_a 16.874
_cell_length_b 3.821
_cell_length_c 7.785
_cell_angle_alpha 90.00
_cell_angle_beta 104.45
_cell_angle_gamma 90.00
loop_
_atom_site_label
_atom_site_type_symbol
_atom_site_fract_x
_atom_site_fract_y
_atom_site_fract_z
Ce1 Ce 0.000 0.000 0.000
Sm1 Sm 0.166 0.500 0.332
Sc1 Sc 0.000 0.000 0.500
Sc2 Sc 0.167 0.500 0.837
S1 S 0.006 0.500 0.734
S2 S 0.161 0.000 0.599
S3 S 0.173 0.000 0.071
```

Summary:
Energy   -6.862 eV/atom
Uncorrected formation energy   -1.9345 eV/atom
Size of the total moment   1.9 μB per cell
Density   5.25 g/cm³

***

This record from Alexandria via LeMat-Bulk describes Ce2SmScS4 after structural relaxation. The functional is PBE.

Cell and atoms, written as CIF:
```
data_Ce2SmScS4
_space_group_name_H-M_alt 'P 1 2/m 1'
_space_group_IT_number 10
_space_group_name_Hall '-P 2y'
_cell_length_a 6.824
_cell_length_b 3.923
_cell_length_c 6.868
_cell_angle_alpha 90.00
_cell_angle_beta 109.16
_cell_angle_gamma 90.00
loop_
_atom_site_label
_atom_site_type_symbol
_atom_site_fract_x
_atom_site_fract_y
_atom_site_fract_z
Ce1 Ce 0.000 0.000 0.000
Ce2 Ce 0.500 0.500 0.000
Sm1 Sm 0.000 0.500 0.500
Sc1 Sc 0.500 0.000 0.500
S1 S 0.259 0.000 0.739
S2 S 0.268 0.500 0.269
```

Summary:
Energy   -6.901 eV/atom
Uncorrected formation energy   -1.9725 eV/atom
Size of the total moment   1.6 μB per cell
Density   5.77 g/cm³

***

This record from Alexandria via LeMat-Bulk describes Ce3Sm4ScS8 after structural relaxation. The functional is PBE.

Cell and atoms, written as CIF:
```
data_Ce3Sm4ScS8
_space_group_name_H-M_alt 'R -3 m'
_space_group_IT_number 166
_space_group_name_Hall '-R 3 2"'
_cell_length_a 7.9628
_cell_length_b 7.9628
_cell_length_c 19.4769
_cell_angle_alpha 90.00
_cell_angle_beta 90.00
_cell_angle_gamma 120.00
loop_
_atom_site_label
_atom_site_type_symbol
_atom_site_fract_x
_atom_site_fract_y
_atom_site_fract_z
Ce1 Ce 0.0000 0.5000 0.0000
Sm1 Sm 0.0000 0.0000 0.5000
Sm2 Sm 0.0000 0.5000 0.5000
Sc1 Sc 0.0000 0.0000 0.0000
S1 S 0.0000 0.0000 0.2494
S2 S 0.0113 0.5056 0.7475
```

Summary:
Energy   -6.750 eV/atom
Uncorrected formation energy   -1.9979 eV/atom
Size of the total moment   5.6 μB per cell
Density   6.16 g/cm³